(1)
# Mg2AgAu PBE optimized geometry
# **Energy relative to the elements**: -1.5 eV/f.u.
# **Raw total energy**: -2.70 eV per atom
# **Theoretical density**: 7.92 g cm⁻³
data_Mg2AgAu
_cell_length_a 10.0495
_cell_length_b 3.3215
_cell_length_c 4.6709
_cell_angle_alpha 90.00
_cell_angle_beta 108.16
_cell_angle_gamma 90.00
_symmetry_space_group_name_H-M 'C 1 m 1'
_symmetry_Int_Tables_number 8
loop_
_symmetry_equiv_pos_as_xyz
'x,y,z'
'x,-y,z'
'x+1/2,y+1/2,z'
'x+1/2,-y+1/2,z'
loop_
_atom_site_label
_atom_site_fract_x
_atom_site_fract_y
_atom_site_fract_z
Mg1 0.0000 0.0000 0.0000
Mg2 0.2259 0.0000 0.6584
Ag1 0.2467 0.5000 0.1758
Au1 0.4889 0.0000 0.4971

=====

(2)
# MgAg5Au PBE optimized geometry
# **Energy relative to the elements**: 1.8 eV/f.u.
# **Raw total energy**: -2.48 eV per atom
# **Theoretical density**: 7.14 g cm⁻³
data_MgAg5Au
_cell_length_a 10.9058
_cell_length_b 7.9922
_cell_length_c 9.7161
_cell_angle_alpha 90.00
_cell_angle_beta 123.32
_cell_angle_gamma 90.00
_symmetry_space_group_name_H-M 'C 1 2/c 1'
_symmetry_Int_Tables_number 15
loop_
_symmetry_equiv_pos_as_xyz
'x,y,z'
'-x,-y,-z'
'-x,y,-z+1/2'
'x,-y,z+1/2'
'x+1/2,y+1/2,z'
'-x+1/2,-y+1/2,-z'
'-x+1/2,y+1/2,-z+1/2'
'x+1/2,-y+1/2,z+1/2'
loop_
_atom_site_label
_atom_site_fract_x
_atom_site_fract_y
_atom_site_fract_z
Mg1 0.0000 0.2395 0.2500
Ag1 0.0000 0.4030 0.7500
Ag2 0.2351 0.0878 0.5437
Ag3 0.2429 0.3687 0.7234
Au1 0.2500 0.2500 0.0000